1.
The following is a DFT calculation (PBE) of an optimized crystal structure of CdSi2Pb.

Computed properties:
magnetization = 0.000 μB/f.u.
calculated volume = 463 Å³ per cell
energy relative to the elements, uncorrected = 611 meV per atom

Cell lengths 6.236, 6.236, 11.917 Å; angles 90.00, 90.00, 90.00 degrees
Element x y z (fractional)
Cd1 0.000 0.000 0.000
Cd2 0.000 0.500 0.250
Cd3 0.500 0.000 0.750
Cd4 0.500 0.500 0.500
Si1 0.237 0.250 0.125
Si2 0.250 0.737 0.375
Si3 0.250 0.763 0.875
Si4 0.263 0.250 0.625
Si5 0.737 0.750 0.625
Si6 0.750 0.237 0.875
Si7 0.750 0.263 0.375
Si8 0.763 0.750 0.125
Pb1 0.000 0.000 0.500
Pb2 0.000 0.500 0.750
Pb3 0.500 0.000 0.250
Pb4 0.500 0.500 0.000

***

2.
The following is a DFT calculation (PBE) of an optimized crystal structure of CdSiPb2.

Computed properties:
magnetization = 0.000 μB/f.u.
calculated volume = 210 Å³ per cell
energy relative to the elements, uncorrected = 290 meV per atom

Cell lengths 5.021, 5.031, 8.328 Å; angles 90.00, 90.00, 90.00 degrees
Element x y z (fractional)
Cd1 0.000 0.000 0.000
Cd2 0.500 0.500 0.000
Si1 0.000 0.000 0.500
Si2 0.500 0.500 0.500
Pb1 0.000 0.500 0.283
Pb2 0.000 0.500 0.717
Pb3 0.500 0.000 0.283
Pb4 0.500 0.000 0.717

***

3.
The following is a DFT calculation (PBE) of an optimized crystal structure of Cd2SiPb.

Computed properties:
magnetization = 0.000 μB/f.u.
calculated volume = 95 Å³ per cell
energy relative to the elements, uncorrected = 284 meV per atom

Cell lengths 3.240, 4.060, 7.243 Å; angles 90.00, 91.06, 90.00 degrees
Element x y z (fractional)
Cd1 0.000 0.000 0.000
Cd2 0.498 0.500 0.237
Si1 0.501 0.500 0.806
Pb1 0.989 0.000 0.539

***

4.
The following is a DFT calculation (PBE) of an optimized crystal structure of CdSiPb2.

Computed properties:
magnetization = 0.000 μB/f.u.
calculated volume = 321 Å³ per cell
energy relative to the elements, uncorrected = 314 meV per atom

Cell lengths 3.444, 3.444, 31.287 Å; angles 90.00, 90.00, 120.00 degrees
Element x y z (fractional)
Cd1 0.000 0.000 0.000
Cd2 0.333 0.667 0.667
Cd3 0.667 0.333 0.333
Si1 0.000 0.000 0.500
Si2 0.333 0.667 0.167
Si3 0.667 0.333 0.833
Pb1 0.000 0.000 0.240
Pb2 0.000 0.000 0.760
Pb3 0.333 0.667 0.427
Pb4 0.333 0.667 0.907
Pb5 0.667 0.333 0.093
Pb6 0.667 0.333 0.573

***

5.
The following is a DFT calculation (PBE) of an optimized crystal structure of CdSi2Pb.

Computed properties:
magnetization = 0.000 μB/f.u.
calculated volume = 90 Å³ per cell
energy relative to the elements, uncorrected = 464 meV per atom

Cell lengths 3.234, 4.270, 6.682 Å; angles 90.00, 101.66, 90.00 degrees
Element x y z (fractional)
Cd1 0.000 0.000 0.000
Si1 0.467 0.500 0.811
Si2 0.533 0.500 0.189
Pb1 0.000 0.000 0.500

***

6.
The following is a DFT calculation (PBE) of an optimized crystal structure of Cd2SiPb.

Computed properties:
magnetization = 0.000 μB/f.u.
calculated volume = 400 Å³ per cell
energy relative to the elements, uncorrected = 310 meV per atom

Cell lengths 8.216, 8.216, 5.931 Å; angles 90.00, 90.00, 90.00 degrees
Element x y z (fractional)
Cd1 0.199 0.250 0.125
Cd2 0.250 0.699 0.375
Cd3 0.250 0.801 0.875
Cd4 0.301 0.250 0.625
Cd5 0.699 0.750 0.625
Cd6 0.750 0.199 0.875
Cd7 0.750 0.301 0.375
Cd8 0.801 0.750 0.125
Si1 0.000 0.000 0.000
Si2 0.000 0.500 0.250
Si3 0.500 0.000 0.750
Si4 0.500 0.500 0.500
Pb1 0.000 0.000 0.500
Pb2 0.000 0.500 0.750
Pb3 0.500 0.000 0.250
Pb4 0.500 0.500 0.000

***

7.
The following is a DFT calculation (PBE) of an optimized crystal structure of CdSi2Pb.

Computed properties:
magnetization = 0.000 μB/f.u.
calculated volume = 88 Å³ per cell
energy relative to the elements, uncorrected = 327 meV per atom

Cell lengths 3.435, 3.435, 7.452 Å; angles 90.00, 90.00, 90.00 degrees
Element x y z (fractional)
Cd1 0.000 0.000 0.000
Si1 0.000 0.000 0.626
Si2 0.500 0.500 0.722
Pb1 0.500 0.500 0.305

***

8.
The following is a DFT calculation (PBE) of an optimized crystal structure of Cd2SiPb.

Computed properties:
magnetization = 0.000 μB/f.u.
calculated volume = 190 Å³ per cell
energy relative to the elements, uncorrected = 321 meV per atom

Cell lengths 4.604, 4.604, 8.971 Å; angles 90.00, 90.00, 90.00 degrees
Element x y z (fractional)
Cd1 0.000 0.000 0.000
Cd2 0.000 0.500 0.250
Cd3 0.500 0.000 0.750
Cd4 0.500 0.500 0.500
Si1 0.000 0.000 0.500
Si2 0.500 0.500 0.000
Pb1 0.000 0.500 0.750
Pb2 0.500 0.000 0.250

***

9.
The following is a DFT calculation (PBE) of an optimized crystal structure of CdSiPb2.

Computed properties:
magnetization = 0.000 μB/f.u.
calculated volume = 209 Å³ per cell
energy relative to the elements, uncorrected = 339 meV per atom

Cell lengths 4.563, 4.563, 10.026 Å; angles 90.00, 90.00, 90.00 degrees
Element x y z (fractional)
Cd1 0.000 0.000 0.000
Cd2 0.500 0.500 0.500
Si1 0.000 0.500 0.250
Si2 0.500 0.000 0.750
Pb1 0.000 0.000 0.500
Pb2 0.000 0.500 0.750
Pb3 0.500 0.000 0.250
Pb4 0.500 0.500 0.000

***

10.
The following is a DFT calculation (PBE) of an optimized crystal structure of CdSi2Pb.

Computed properties:
magnetization = 0.000 μB/f.u.
calculated volume = 186 Å³ per cell
energy relative to the elements, uncorrected = 220 meV per atom

Cell lengths 6.508, 3.761, 7.893 Å; angles 90.00, 105.77, 90.00 degrees
Element x y z (fractional)
Cd1 0.000 0.000 0.000
Cd2 0.500 0.500 0.000
Si1 0.258 0.500 0.260
Si2 0.466 0.000 0.386
Si3 0.758 0.000 0.260
Si4 0.966 0.500 0.386
Pb1 0.228 0.000 0.677
Pb2 0.728 0.500 0.677

***

11.
The following is a DFT calculation (PBE) of an optimized crystal structure of CdSiPb2.

Computed properties:
magnetization = 0.000 μB/f.u.
calculated volume = 105 Å³ per cell
energy relative to the elements, uncorrected = 291 meV per atom

Cell lengths 3.471, 4.458, 6.990 Å; angles 90.00, 103.96, 90.00 degrees
Element x y z (fractional)
Cd1 0.000 0.000 0.000
Si1 0.859 0.500 0.758
Pb1 0.262 0.000 0.557
Pb2 0.615 0.500 0.230

***

12.
The following is a DFT calculation (PBE) of an optimized crystal structure of CdSiPb2.

Computed properties:
magnetization = 0.000 μB/f.u.
calculated volume = 104 Å³ per cell
energy relative to the elements, uncorrected = 338 meV per atom

Cell lengths 4.876, 4.876, 4.382 Å; angles 90.00, 90.00, 90.00 degrees
Element x y z (fractional)
Cd1 0.000 0.000 0.000
Si1 0.500 0.500 0.000
Pb1 0.000 0.500 0.500
Pb2 0.500 0.000 0.500

***

Sequential energy above the most stable polymorph in this dataset output: 0.391, 0.016, 0.015, 0.040, 0.244, 0.042, 0.108, 0.053, 0.065, 0.000, 0.017, 0.063 eV/atom